NaTcAgSe3 | PBE | relaxed

Computed properties:
Calculated total energy, eV/atom: -4.490
Energy above the most stable polymorph in this dataset, meV per atom: 5
Volume, Å³ per atom: 22.01
M_tot, μB/f.u.: 2.39

```
data_NaTcAgSe3
_cell_length_a 7.666
_cell_length_b 3.750
_cell_length_c 9.650
_cell_angle_alpha 90.00
_cell_angle_beta 107.85
_cell_angle_gamma 90.00
_symmetry_space_group_name_H-M 'P 1 21/m 1'
_symmetry_Int_Tables_number 11
loop_
_symmetry_equiv_pos_as_xyz
'x,y,z'
'-x,-y,-z'
'-x,y+1/2,-z'
'x,-y+1/2,z'
loop_
_atom_site_label
_atom_site_type_symbol
_atom_site_fract_x
_atom_site_fract_y
_atom_site_fract_z
Na1 Na 0.244 0.250 0.205
Tc1 Tc 0.186 0.750 0.656
Ag1 Ag 0.441 0.250 0.887
Se1 Se 0.059 0.750 0.375
Se2 Se 0.201 0.750 0.927
Se3 Se 0.400 0.250 0.615
```